Record 1
A plane-wave DFT calculation with GGA-PBE was carried out for a geometry-optimized Rb2AgGeBi structure.

Cell: 6.478 6.478 5.385 Å, 90.00 90.00 90.00°
Space group P4/mmm (No. 123)
Unique sites:
Rb 0.000 0.500 0.000 (multiplicity 2)
Ag 0.000 0.000 0.000 (multiplicity 1)
Ge 0.500 0.500 0.500 (multiplicity 1)
Bi 0.000 0.000 0.500 (multiplicity 1)

Uncorrected energy (eV per cell): -11.4
ΔE_f (eV per atom): 0.369
N(E_F) (states/eV/atom): 0.663
Spin magnetization (μB per atom): 0.3066
Calculated density (g/cm3): 4.12

***

Record 2
A plane-wave DFT calculation with GGA-PBE was carried out for a geometry-optimized Fe3NiH structure.

Cell: 3.640 3.640 3.640 Å, 90.00 90.00 90.00°
Space group Pm-3m (No. 221)
Unique sites:
Fe 0.000 0.000 0.500 (multiplicity 3)
Ni 0.500 0.500 0.500 (multiplicity 1)
H 0.000 0.000 0.000 (multiplicity 1)

Uncorrected energy (eV per cell): -34.4
N(E_F) (states/eV/atom): 0.807
Spin magnetization (μB per atom): 1.6072
Calculated density (g/cm3): 7.82

***

Record 3
A plane-wave DFT calculation with GGA-PBE was carried out for a geometry-optimized Nd3Sm3Ga4 structure.

Cell: 4.501 11.012 11.077 Å, 90.00 90.00 90.00°
Space group Amm2 (No. 38)
Unique sites:
Nd 0.000 0.000 0.000 (multiplicity 2)
Nd 0.500 0.249 0.077 (multiplicity 4)
Sm 0.000 0.000 0.652 (multiplicity 2)
Sm 0.000 0.174 0.328 (multiplicity 4)
Ga 0.500 0.000 0.212 (multiplicity 2)
Ga 0.500 0.000 0.445 (multiplicity 2)
Ga 0.500 0.118 0.825 (multiplicity 4)

Uncorrected energy (eV per cell): -90.7
ΔE_f (eV per atom): -0.479
N(E_F) (states/eV/atom): 1.088
Spin magnetization (μB per atom): 0.0000
Calculated density (g/cm3): 7.03

***

Record 4
A plane-wave DFT calculation with GGA-PBE was carried out for a geometry-optimized PtSe2I2 structure.

Cell: 7.021 11.937 8.669 Å, 90.00 108.39 90.00°
Space group C2/m (No. 12)
Unique sites:
Pt 0.000 0.159 0.000 (multiplicity 4)
Se 0.187 0.000 0.413 (multiplicity 4)
Se 0.215 0.000 0.159 (multiplicity 4)
I 0.233 0.178 0.810 (multiplicity 8)

Uncorrected energy (eV per cell): -66.0
N(E_F) (states/eV/atom): 0.093
Uncorrected formation energy (meV per atom): -76
Spin magnetization (μB per atom): 0.0000
Calculated density (g/cm3): 5.85

***

Record 5
A plane-wave DFT calculation with GGA-PBE was carried out for a geometry-optimized NdAsPd structure.

Cell: 4.3810 4.3810 15.7139 Å, 90.00 90.00 120.00°
Space group P6_3/mmc (No. 194)
Unique sites:
Nd 0.0000 0.0000 0.0000 (multiplicity 2)
Nd 0.0000 0.0000 0.2500 (multiplicity 2)
As 0.3333 0.6667 0.1194 (multiplicity 4)
Pd 0.3333 0.6667 0.6315 (multiplicity 4)

Uncorrected energy (eV per cell): -72.6
ΔE_f (eV per atom): -1.183
N(E_F) (states/eV/atom): 0.221
Spin magnetization (μB per atom): 0.0000
Calculated density (g/cm3): 8.28

***

Record 6
A plane-wave DFT calculation with GGA-PBE was carried out for a geometry-optimized Er3ZrSc4 structure.

Cell: 10.588 6.802 5.895 Å, 90.00 90.00 90.00°
Space group Pmn2_1 (No. 31)
Unique sites:
Er 0.000 0.126 0.000 (multiplicity 2)
Er 0.247 0.129 0.342 (multiplicity 4)
Zr 0.000 0.867 0.509 (multiplicity 2)
Sc 0.000 0.386 0.509 (multiplicity 2)
Sc 0.000 0.628 0.015 (multiplicity 2)
Sc 0.244 0.623 0.344 (multiplicity 4)

Uncorrected energy (eV per cell): -94.7
ΔE_f (eV per atom): 0.029
N(E_F) (states/eV/atom): 1.837
Spin magnetization (μB per atom): 0.0008
Calculated density (g/cm3): 6.05

***

Record 7
A plane-wave DFT calculation with GGA-PBE was carried out for a geometry-optimized Nb2NiMo structure.

Cell: 3.1174 3.1174 23.7013 Å, 90.00 90.00 120.00°
Space group R-3m (No. 166, hexagonal axes)
Unique sites:
Nb 0.0000 0.0000 0.2478 (multiplicity 6)
Ni 0.0000 0.0000 0.5000 (multiplicity 3)
Mo 0.0000 0.0000 0.0000 (multiplicity 3)

Uncorrected energy (eV per cell): -107.6
ΔE_f (eV per atom): 0.225
N(E_F) (states/eV/atom): 0.927
Spin magnetization (μB per atom): 0.0000
Calculated density (g/cm3): 8.50

***

Record 8
A plane-wave DFT calculation with GGA-PBE was carried out for a geometry-optimized BaBeSi3 structure.

Cell: 4.671 4.671 4.671 Å, 90.00 90.00 90.00°
Space group Pm-3m (No. 221)
Unique sites:
Ba 0.000 0.000 0.000 (multiplicity 1)
Be 0.500 0.500 0.500 (multiplicity 1)
Si 0.000 0.500 0.500 (multiplicity 3)

Uncorrected energy (eV per cell): -20.2
N(E_F) (states/eV/atom): 0.481
Uncorrected formation energy (meV per atom): 337
Spin magnetization (μB per atom): 0.0000
Calculated density (g/cm3): 3.76

***

Record 9
A plane-wave DFT calculation with GGA-PBE was carried out for a geometry-optimized Li7NdCd4 structure.

Cell: 13.830 5.119 8.745 Å, 90.00 126.51 90.00°
Space group C2/m (No. 12)
Unique sites:
Li 0.000 0.000 0.000 (multiplicity 2)
Li 0.059 0.500 0.688 (multiplicity 4)
Li 0.201 0.000 0.727 (multiplicity 4)
Li 0.219 0.500 0.559 (multiplicity 4)
Nd 0.000 0.500 0.000 (multiplicity 2)
Cd 0.046 0.000 0.346 (multiplicity 4)
Cd 0.200 0.000 0.037 (multiplicity 4)

Uncorrected energy (eV per cell): -44.6
ΔE_f (eV per atom): -0.042
N(E_F) (states/eV/atom): 0.438
Spin magnetization (μB per atom): 0.0000
Calculated density (g/cm3): 4.29

***

Record 10
A plane-wave DFT calculation with GGA-PBE was carried out for a geometry-optimized RbIrRu structure.

Cell: 5.264 4.103 7.114 Å, 90.00 92.42 90.00°
Space group Pm (No. 6)
Unique sites:
Rb 0.000 0.000 0.000 (multiplicity 1)
Rb 0.499 0.500 0.815 (multiplicity 1)
Ir 0.630 0.000 0.456 (multiplicity 1)
Ir 0.880 0.500 0.360 (multiplicity 1)
Ru 0.138 0.000 0.472 (multiplicity 1)
Ru 0.373 0.500 0.343 (multiplicity 1)

Uncorrected energy (eV per cell): -35.1
ΔE_f (eV per atom): 0.516
N(E_F) (states/eV/atom): 0.796
Spin magnetization (μB per atom): 0.0000
Calculated density (g/cm3): 8.19

***

Record 11
A plane-wave DFT calculation with GGA-PBE was carried out for a geometry-optimized Mg2CdAsPd structure.

Cell: 5.084 5.084 4.955 Å, 90.00 90.00 90.00°
Space group P4/mmm (No. 123)
Unique sites:
Mg 0.000 0.500 0.000 (multiplicity 2)
Cd 0.000 0.000 0.000 (multiplicity 1)
As 0.500 0.500 0.500 (multiplicity 1)
Pd 0.000 0.000 0.500 (multiplicity 1)

Uncorrected energy (eV per cell): -11.2
ΔE_f (eV per atom): 0.541
N(E_F) (states/eV/atom): 0.860
Spin magnetization (μB per atom): 0.0000
Calculated density (g/cm3): 4.44

***

Record 12
A plane-wave DFT calculation with GGA-PBE was carried out for a geometry-optimized KScW2 structure.

Cell: 3.363 4.427 11.008 Å, 90.00 90.00 90.00°
Space group Cmmm (No. 65)
Unique sites:
K 0.000 0.000 0.000 (multiplicity 2)
Sc 0.000 0.000 0.500 (multiplicity 2)
W 0.000 0.500 0.284 (multiplicity 4)

Uncorrected energy (eV per cell): -59.5
ΔE_f (eV per atom): 0.902
N(E_F) (states/eV/atom): 0.980
Spin magnetization (μB per atom): 0.0000
Calculated density (g/cm3): 9.16

***

Record 13
A plane-wave DFT calculation with GGA-PBE was carried out for a geometry-optimized KZn3Sn structure.

Cell: 5.653 5.653 5.653 Å, 90.00 90.00 90.00°
Space group Pm-3m (No. 221)
Unique sites:
K 0.000 0.000 0.000 (multiplicity 1)
Zn 0.000 0.000 0.500 (multiplicity 3)
Sn 0.500 0.500 0.500 (multiplicity 1)

Uncorrected energy (eV per cell): -4.1
ΔE_f (eV per atom): 0.967
N(E_F) (states/eV/atom): 0.976
Spin magnetization (μB per atom): 0.0000
Calculated density (g/cm3): 3.25

***

Record 14
A plane-wave DFT calculation with GGA-PBE was carried out for a geometry-optimized Zr2InCl structure.

Cell: 3.3497 3.3497 32.5042 Å, 90.00 90.00 120.00°
Space group R3m (No. 160, hexagonal axes)
Unique sites:
Zr 0.0000 0.0000 0.0000 (multiplicity 3)
Zr 0.0000 0.0000 0.2591 (multiplicity 3)
In 0.0000 0.0000 0.7452 (multiplicity 3)
Cl 0.0000 0.0000 0.5371 (multiplicity 3)

Uncorrected energy (eV per cell): -72.0
N(E_F) (states/eV/atom): 0.532
Uncorrected formation energy (meV per atom): -583
Spin magnetization (μB per atom): 0.0000
Calculated density (g/cm3): 5.25

***

Record 15
A plane-wave DFT calculation with GGA-PBE was carried out for a geometry-optimized Np4As3H4 structure.

Cell: 6.986 6.986 6.986 Å, 90.00 90.00 90.00°
Space group I-43m (No. 217)
Unique sites:
Np 0.197 0.197 0.803 (multiplicity 8)
As 0.000 0.000 0.500 (multiplicity 6)
H 0.116 0.116 0.116 (multiplicity 8)

Uncorrected energy (eV per cell): -167.2
N(E_F) (states/eV/atom): 2.772
Spin magnetization (μB per atom): 1.3657
Calculated density (g/cm3): 11.46

***

Record 16
A plane-wave DFT calculation with GGA-PBE was carried out for a geometry-optimized SrPtN2 structure.

Cell: 5.059 5.059 10.712 Å, 90.00 90.00 90.00°
Space group I-42d (No. 122)
Unique sites:
Sr 0.000 0.000 0.000 (multiplicity 4)
Pt 0.000 0.000 0.500 (multiplicity 4)
N 0.162 0.250 0.625 (multiplicity 8)

Uncorrected energy (eV per cell): -93.4
N(E_F) (states/eV/atom): 0.921
Uncorrected formation energy (meV per atom): 253
Spin magnetization (μB per atom): 0.0000
Calculated density (g/cm3): 7.53

***

Record 17
A plane-wave DFT calculation with GGA-PBE was carried out for a geometry-optimized BeFe2P structure.

Cell: 7.262 2.619 4.360 Å, 90.00 100.95 90.00°
Space group C2/m (No. 12)
Unique sites:
Be 0.000 0.000 0.000 (multiplicity 2)
Fe 0.247 0.000 0.751 (multiplicity 4)
P 0.000 0.500 0.500 (multiplicity 2)

Uncorrected energy (eV per cell): -53.2
ΔE_f (eV per atom): -0.131
N(E_F) (states/eV/atom): 0.748
Spin magnetization (μB per atom): 0.5833
Calculated density (g/cm3): 6.19

***

Record 18
A plane-wave DFT calculation with GGA-PBE was carried out for a geometry-optimized CaTl2CuOs structure.

Cell: 4.944 4.944 5.245 Å, 90.00 90.00 90.00°
Space group P4/mmm (No. 123)
Unique sites:
Ca 0.000 0.000 0.000 (multiplicity 1)
Tl 0.000 0.500 0.500 (multiplicity 2)
Cu 0.000 0.000 0.500 (multiplicity 1)
Os 0.500 0.500 0.000 (multiplicity 1)

Uncorrected energy (eV per cell): -17.0
ΔE_f (eV per atom): 1.013
N(E_F) (states/eV/atom): 0.958
Spin magnetization (μB per atom): 0.3837
Calculated density (g/cm3): 9.10